{"formula": "Er3Mg3Al2Tl", "functional": "PBE", "state": "relaxed", "energy_ha_per_atom": -0.126, "magnetic_moment_mub_per_atom": 0.000, "lattice_angstrom": [[7.364, 0.000, 0.000], [-3.682, 6.377, 0.000], [0.000, 0.000, 4.569]], "species": ["Er", "Er", "Er", "Mg", "Mg", "Mg", "Al", "Al", "Tl"], "fractional_positions": [[0.000, 0.564, 0.000], [0.436, 0.436, 0.000], [0.564, 0.000, 0.000], [0.000, 0.248, 0.500], [0.248, 0.000, 0.500], [0.752, 0.752, 0.500], [0.333, 0.667, 0.500], [0.667, 0.333, 0.500], [0.000, 0.000, 0.000]]}